DFT (PBEsol) results for CuTeAs2 after structural relaxation.

It has space group I4/mmm (No. 139), with a = 3.793 Å, b = 3.793 Å, c = 10.874 Å, α = 90.00°, β = 90.00° and γ = 90.00°. The distinct sites, in fractional coordinates, are Cu at (0.000, 0.000, 0.000), Te at (0.000, 0.000, 0.500) and As at (0.000, 0.500, 0.250).

As for the density of states at the Fermi level: 4.7 states/eV/cell. For the total magnetization, the calculation gives 0.00 μB/cell. For the total energy, the calculation gives -4.116 eV per atom.

DFT (PBEsol) results for MgHg5 after structural relaxation.

It has space group P-62m (No. 189), with a = 5.5258 Å, b = 5.5258 Å, c = 5.0368 Å, α = 90.00°, β = 90.00° and γ = 120.00°. The distinct sites, in fractional coordinates, are Mg at (0.0000, 0.0000, 0.0000), Hg at (0.0000, 0.6774, 0.5000) and Hg at (0.3333, 0.6667, 0.0000).

As for the density of states at the Fermi level: 2.2 states/eV/cell. For the total magnetization, the calculation gives 0.00 μB/cell. For the total energy, the calculation gives -0.845 eV per atom. The calculated formation energy comes out at -0.087 eV/atom.

DFT (PBEsol) results for HgCN2F after structural relaxation.

It has space group P4/mmm (No. 123), with a = 3.157 Å, b = 3.157 Å, c = 5.590 Å, α = 90.00°, β = 90.00° and γ = 90.00°. The distinct sites, in fractional coordinates, are Hg at (0.000, 0.000, 0.000), C at (0.500, 0.500, 0.500), N at (0.000, 0.500, 0.500) and F at (0.500, 0.500, 0.000).

As for the density of states at the Fermi level: 1.8 states/eV/cell. For the total magnetization, the calculation gives 0.00 μB/cell. For the total energy, the calculation gives -4.428 eV per atom.